# 1
This record from Alexandria describes crystalline SmPaSn2 at its relaxed geometry. The functional is PBE.

Computed properties:
* ΔE to the lowest computed polymorph: 0.0000 eV per atom
* total energy: -23.8 eV per cell
* calculated density: 9.703 g/cm3
* density of states at the Fermi level: 5.3 states/eV/f.u.

Cell and atoms, written as POSCAR:
```
SmPaSn2
1.0
3.424 0.000 0.000
0.000 3.424 0.000
0.000 0.000 9.033
Sm Pa Sn
1 1 2
direct
0.000 0.000 0.000
0.000 0.000 0.500
0.500 0.500 0.253
0.500 0.500 0.747
```

# 2
This record from Alexandria describes crystalline Li3Nb2WN6 at its relaxed geometry. The functional is PBE.

Computed properties:
* ΔE_f (raw): -0.742 eV per atom
* total energy: -97.7 eV per cell
* calculated density: 6.315 g/cm3
* density of states at the Fermi level: 3.6 states/eV/f.u.

Cell and atoms, written as POSCAR:
```
Li3Nb2WN6
1.0
2.651 -4.592 0.000
2.651 4.592 0.000
-1.770 0.000 5.124
Li Nb W N
3 2 1 6
direct
0.000 0.000 0.000
0.334 0.666 0.000
0.666 0.334 0.000
0.167 0.833 0.500
0.833 0.167 0.500
0.500 0.500 0.500
0.100 0.425 0.274
0.250 0.250 0.725
0.425 0.100 0.274
0.575 0.900 0.726
0.750 0.750 0.275
0.900 0.575 0.726
```

# 3
This record from Alexandria describes crystalline H2IF8 at its relaxed geometry. The functional is PBE.

Computed properties:
* ΔE to the lowest computed polymorph: 0.0000 eV per atom
* total energy: -39.2 eV per cell
* calculated density: 2.825 g/cm3
* density of states at the Fermi level: 2.3 states/eV/f.u.

Cell and atoms, written as POSCAR:
```
H2IF8
1.0
5.519 -2.973 0.000
5.519 2.973 0.000
-2.176 0.000 5.031
H I F
2 1 8
direct
0.105 0.105 0.022
0.895 0.895 0.978
0.500 0.500 0.500
0.123 0.123 0.206
0.161 0.618 0.270
0.382 0.839 0.730
0.394 0.394 0.704
0.606 0.606 0.296
0.618 0.161 0.270
0.839 0.382 0.730
0.877 0.877 0.794
```

# 4
This record from Alexandria describes crystalline MnInBr2 at its relaxed geometry. The functional is PBE.

Computed properties:
* ΔE to the lowest computed polymorph: 0.0604 eV per atom
* ΔE_f (raw): -0.350 eV per atom
* total energy: -33.3 eV per cell
* calculated density: 4.452 g/cm3
* density of states at the Fermi level: 1.2 states/eV/f.u.

Cell and atoms, written as POSCAR:
```
MnInBr2
1.0
12.967 0.000 0.000
0.000 3.638 0.000
-2.617 0.000 5.211
Mn In Br
2 2 4
direct
0.000 0.000 0.000
0.500 0.500 0.000
0.000 0.500 0.500
0.500 0.000 0.500
0.160 0.500 0.160
0.340 0.000 0.840
0.660 0.000 0.160
0.840 0.500 0.840
```